A relaxed ScZnGa3 crystal, computed with GGA-PBE.

**E_form**: 0.215 eV per atom
**Mass density**: 4.94 Mg/m³
**Energy**: -3.12 eV per atom

Lattice parameters (Å, degrees): 4.754 4.754 4.754 90.00 90.00 90.00
Fractional coordinates of all 5 atoms:
Ga 0.000 0.000 0.500
Ga 0.000 0.500 0.000
Ga 0.500 0.000 0.000
Zn 0.000 0.000 0.000
Sc 0.500 0.500 0.500

---

A relaxed LaHfMn2 crystal, computed with GGA-PBE.

**E_form**: 0.413 eV per atom
**Mass density**: 9.88 Mg/m³
**Energy**: -7.89 eV per atom

Lattice parameters (Å, degrees): 4.666 4.666 4.666 60.00 60.00 60.00
Fractional coordinates of all 4 atoms:
Hf 0.500 0.500 0.500
La 0.000 0.000 0.000
Mn 0.750 0.750 0.750
Mn 0.250 0.250 0.250

---

A relaxed RbSm2CuTe4 crystal, computed with GGA-PBE.

**Mass density**: 5.89 Mg/m³
**Uncorrected formation energy**: -1162 meV/atom
**Energy**: -4.55 eV per atom

Lattice parameters (Å, degrees): 4.464 8.078 15.633 90.00 90.00 106.04
Fractional coordinates of all 16 atoms:
Rb 0.110 0.221 0.750
Rb 0.890 0.779 0.250
Sm 0.635 0.269 0.064
Sm 0.365 0.731 0.564
Sm 0.635 0.269 0.436
Sm 0.365 0.731 0.936
Te 0.000 0.000 0.000
Te 0.432 0.864 0.750
Te 0.568 0.136 0.250
Te 0.265 0.529 0.114
Te 0.265 0.529 0.386
Te 0.000 0.000 0.500
Te 0.735 0.471 0.886
Te 0.735 0.471 0.614
Cu 0.839 0.678 0.750
Cu 0.161 0.322 0.250